This record from Alexandria describes an optimized crystal structure of Ru2PtRh. The functional is GGA-PBE.

Total DFT energy (no corrections) in eV/atom: -7.92
Formation energy in meV per atom: 61

a = 5.430 Å, b = 7.787 Å, c = 2.720 Å
α = 90.00°, β = 90.00°, γ = 90.00°
Space group Cmmm (No. 65)
Symmetry-distinct sites (fractional):
Ru 0.250 0.250 0.000 [4 per cell]
Pt 0.000 0.000 0.500 [2 per cell]
Rh 0.000 0.500 0.500 [2 per cell]